1.
The following is a GGA-PBE calculation of a relaxed CaPu2ScSe4 crystal, from Alexandria.

Cell lengths 7.061, 4.083, 7.144 Å; angles 90.00, 109.54, 90.00 degrees
Atoms (fractional coordinates):
Ca1 0.000 0.000 0.000
Pu1 0.500 0.000 0.500
Pu2 0.500 0.500 0.000
Sc1 0.000 0.500 0.500
Se1 0.236 0.000 0.738
Se2 0.241 0.500 0.257
Se3 0.759 0.500 0.743
Se4 0.764 0.000 0.262

Uncorrected formation energy (meV per atom): -1613.6
Calculated total energy (eV per atom): -7.980
Symmetry: P2/m (10)

2.
The following is a GGA-PBE calculation of a relaxed CaPu2ScTe4 crystal, from Alexandria.

Cell lengths 7.601, 4.371, 7.608 Å; angles 90.00, 109.23, 90.00 degrees
Atoms (fractional coordinates):
Ca1 0.000 0.000 0.000
Pu1 0.500 0.000 0.500
Pu2 0.500 0.500 0.000
Sc1 0.000 0.500 0.500
Te1 0.237 0.000 0.737
Te2 0.242 0.500 0.256
Te3 0.758 0.500 0.744
Te4 0.763 0.000 0.263

Uncorrected formation energy (meV per atom): -1201.9
Calculated total energy (eV per atom): -7.397
Symmetry: P2/m (10)

3.
The following is a GGA-PBE calculation of a relaxed CaPu2Se4 crystal, from Alexandria.

Cell lengths 7.073, 7.073, 13.943 Å; angles 90.00, 90.00, 146.20 degrees
Atoms (fractional coordinates):
Ca1 0.113 0.887 0.750
Ca2 0.887 0.113 0.250
Pu1 0.366 0.634 0.568
Pu2 0.366 0.634 0.932
Pu3 0.634 0.366 0.068
Pu4 0.634 0.366 0.432
Se1 0.000 0.000 0.000
Se2 0.000 0.000 0.500
Se3 0.273 0.727 0.120
Se4 0.273 0.727 0.380
Se5 0.460 0.540 0.750
Se6 0.540 0.460 0.250
Se7 0.727 0.273 0.620
Se8 0.727 0.273 0.880

Uncorrected formation energy (meV per atom): -1581.1
Offset from the most stable computed form (eV per atom): 0.034
Calculated total energy (eV per atom): -7.953
Symmetry: Cmcm (63)

4.
The following is a GGA-PBE calculation of a relaxed CaPu4Se5 crystal, from Alexandria.

Cell lengths 15.050, 15.050, 15.050 Å; angles 164.09, 164.09, 22.57 degrees
Atoms (fractional coordinates):
Ca1 0.000 0.000 0.000
Pu1 0.200 0.200 0.000
Pu2 0.399 0.399 0.000
Pu3 0.601 0.601 0.000
Pu4 0.800 0.800 0.000
Se1 0.100 0.100 0.000
Se2 0.300 0.300 0.000
Se3 0.500 0.500 0.000
Se4 0.700 0.700 0.000
Se5 0.900 0.900 0.000

Uncorrected formation energy (meV per atom): -1605.8
Calculated total energy (eV per atom): -9.281
Symmetry: I4/mmm (139)

5.
The following is a GGA-PBE calculation of a relaxed CaPu2Se3 crystal, from Alexandria.

Cell lengths 4.149, 4.149, 20.908 Å; angles 90.00, 90.00, 120.00 degrees
Atoms (fractional coordinates):
Ca1 0.000 0.000 0.250
Ca2 0.000 0.000 0.750
Pu1 0.333 0.667 0.082
Pu2 0.333 0.667 0.418
Pu3 0.667 0.333 0.582
Pu4 0.667 0.333 0.918
Se1 0.000 0.000 0.000
Se2 0.000 0.000 0.500
Se3 0.333 0.667 0.664
Se4 0.333 0.667 0.836
Se5 0.667 0.333 0.164
Se6 0.667 0.333 0.336

Uncorrected formation energy (meV per atom): -1625.0
Offset from the most stable computed form (eV per atom): 0.027
Calculated total energy (eV per atom): -8.478
Symmetry: P6_3/mmc (194)

6.
The following is a GGA-PBE calculation of a relaxed CaPu2Se3 crystal, from Alexandria.

Cell lengths 7.238, 7.238, 7.238 Å; angles 146.39, 131.82, 60.02 degrees
Atoms (fractional coordinates):
Ca1 0.000 0.000 0.000
Pu1 0.334 0.334 0.000
Pu2 0.666 0.666 0.000
Se1 0.168 0.668 0.500
Se2 0.500 0.000 0.500
Se3 0.832 0.332 0.500

Uncorrected formation energy (meV per atom): -1652.2
Offset from the most stable computed form (eV per atom): 0.000
Calculated total energy (eV per atom): -8.505
Symmetry: Immm (71)

Which formula does entry 5 have?
CaPu2Se3